{
  "formula": "Mg9ZrCd2",
  "functional": "PBE",
  "state": "relaxed",
  "formation_energy_mev_per_atom": -32,
  "energy_ev_per_atom": -2.09,
  "dos_ef_per_ev_cell": 5.29,
  "spacegroup": "P4/mmm, No. 123",
  "total_magnetization_mub_per_fu": 0.00,
  "cell": [[4.557, 0.000, 0.000], [0.000, 4.557, 0.000], [0.000, 0.000, 12.708]],
  "species": ["Mg", "Mg", "Mg", "Mg", "Mg", "Mg", "Mg", "Mg", "Mg", "Zr", "Cd", "Cd"],
  "fractional_positions": [[0.000, 0.000, 0.000], [0.000, 0.000, 0.339], [0.000, 0.000, 0.661], [0.000, 0.500, 0.169], [0.000, 0.500, 0.500], [0.000, 0.500, 0.831], [0.500, 0.000, 0.169], [0.500, 0.000, 0.500], [0.500, 0.000, 0.831], [0.500, 0.500, 0.000], [0.500, 0.500, 0.327], [0.500, 0.500, 0.673]]
}

{
  "formula": "Mg2ZrCd2",
  "functional": "PBE",
  "state": "relaxed",
  "de_polymorph_mev_per_atom": 323.5,
  "formation_energy_mev_per_atom": 277,
  "energy_ev_per_atom": -2.44,
  "dos_ef_per_ev_cell": 7.21,
  "spacegroup": "P6_3/mmc, No. 194",
  "total_magnetization_mub_per_fu": 0.00,
  "cell": [[4.918, 0.000, 0.000], [-2.459, 4.259, 0.000], [0.000, 0.000, 11.871]],
  "species": ["Mg", "Mg", "Mg", "Mg", "Zr", "Zr", "Cd", "Cd", "Cd", "Cd"],
  "fractional_positions": [[0.000, 0.000, 0.000], [0.000, 0.000, 0.500], [0.333, 0.667, 0.250], [0.667, 0.333, 0.750], [0.000, 0.000, 0.250], [0.000, 0.000, 0.750], [0.333, 0.667, 0.622], [0.333, 0.667, 0.878], [0.667, 0.333, 0.122], [0.667, 0.333, 0.378]]
}

Question: Number 1 is which compound?
Answer: Mg9ZrCd2

Please write out number 1 again, unchanged.
{
  "formula": "Mg9ZrCd2",
  "functional": "PBE",
  "state": "relaxed",
  "formation_energy_mev_per_atom": -32,
  "energy_ev_per_atom": -2.09,
  "dos_ef_per_ev_cell": 5.29,
  "spacegroup": "P4/mmm, No. 123",
  "total_magnetization_mub_per_fu": 0.00,
  "cell": [[4.557, 0.000, 0.000], [0.000, 4.557, 0.000], [0.000, 0.000, 12.708]],
  "species": ["Mg", "Mg", "Mg", "Mg", "Mg", "Mg", "Mg", "Mg", "Mg", "Zr", "Cd", "Cd"],
  "fractional_positions": [[0.000, 0.000, 0.000], [0.000, 0.000, 0.339], [0.000, 0.000, 0.661], [0.000, 0.500, 0.169], [0.000, 0.500, 0.500], [0.000, 0.500, 0.831], [0.500, 0.000, 0.169], [0.500, 0.000, 0.500], [0.500, 0.000, 0.831], [0.500, 0.500, 0.000], [0.500, 0.500, 0.327], [0.500, 0.500, 0.673]]
}